Density functional theory data (PBE) for a relaxed Ac4Bi3 crystal.

a = 10.4024 Å, b = 10.4024 Å, c = 10.4024 Å
α = 32.11°, β = 32.11°, γ = 32.11°
Closest atoms and distances in Å follow each position.
Fractional coordinates of all 7 atoms:
Ac 0.1213 0.1213 0.1213  5 Bi 3.43-3.59
Ac 0.3718 0.3718 0.3718  7 Bi 3.51-3.87
Ac 0.6282 0.6282 0.6282  7 Bi 3.51-3.87
Ac 0.8787 0.8787 0.8787  5 Bi 3.43-3.59
Bi 0.0000 0.0000 0.0000  8 Ac 3.51-3.59
Bi 0.2408 0.2408 0.2408  7 Ac 3.43-3.69
Bi 0.7592 0.7592 0.7592  7 Ac 3.43-3.69

Formation energy from the elements in meV per atom: -676
D(E_F) in states/eV per cell: 6.8